(1)
Density functional theory data (PBE) for a geometry-optimized ZnCoPbW structure.

a b c (Å): 4.525 4.525 4.525
angles (deg): 60.00 60.00 60.00
Atoms (fractional coordinates):
1 Zn 0.000 0.000 0.000
2 Co 0.500 0.500 0.500
3 Pb 0.250 0.250 0.250
4 W 0.750 0.750 0.750

Computed properties:
space-group type = F-43m, No. 216
energy relative to the lowest polymorph listed for this composition = 0 meV per atom
ρ = 13.06 g cm⁻³
raw total energy = -21.63 eV per cell

=====

(2)
Density functional theory data (PBE) for a geometry-optimized ZnCoPbW structure.

a b c (Å): 4.529 4.529 4.529
angles (deg): 60.00 60.00 60.00
Atoms (fractional coordinates):
1 Zn 0.000 0.000 0.000
2 Co 0.750 0.750 0.750
3 Pb 0.500 0.500 0.500
4 W 0.250 0.250 0.250

Computed properties:
space-group type = F-43m, No. 216
energy relative to the lowest polymorph listed for this composition = 23 meV per atom
ρ = 13.03 g cm⁻³
raw total energy = -21.54 eV per cell

=====

(3)
Density functional theory data (PBE) for a geometry-optimized ZrCoPbW structure.

a b c (Å): 4.671 4.671 4.671
angles (deg): 60.00 60.00 60.00
Atoms (fractional coordinates):
1 Zr 0.000 0.000 0.000
2 Co 0.750 0.750 0.750
3 Pb 0.500 0.500 0.500
4 W 0.250 0.250 0.250

Computed properties:
space-group type = F-43m, No. 216
energy relative to the lowest polymorph listed for this composition = 0 meV per atom
ρ = 12.47 g cm⁻³
raw total energy = -30.13 eV per cell

=====

(4)
Density functional theory data (PBE) for a geometry-optimized Y3CoPb structure.

a b c (Å): 7.475 7.475 5.449
angles (deg): 90.00 90.00 120.00
Atoms (fractional coordinates):
1 Y 0.174 0.347 0.250
2 Y 0.174 0.826 0.250
3 Y 0.347 0.174 0.750
4 Y 0.653 0.826 0.250
5 Y 0.826 0.174 0.750
6 Y 0.826 0.653 0.750
7 Co 0.000 0.000 0.000
8 Co 0.000 0.000 0.500
9 Pb 0.333 0.667 0.750
10 Pb 0.667 0.333 0.250

Computed properties:
space-group type = P6_3/mmc, No. 194
ρ = 6.71 g cm⁻³
raw total energy = -63.90 eV per cell

=====

(5)
Density functional theory data (PBE) for a geometry-optimized YZnCoPb structure.

a b c (Å): 4.792 4.792 4.792
angles (deg): 60.00 60.00 60.00
Atoms (fractional coordinates):
1 Y 0.000 0.000 0.000
2 Zn 0.250 0.250 0.250
3 Co 0.750 0.750 0.750
4 Pb 0.500 0.500 0.500

Computed properties:
space-group type = F-43m, No. 216
energy relative to the lowest polymorph listed for this composition = 0 meV per atom
ρ = 8.97 g cm⁻³
raw total energy = -18.55 eV per cell

=====

(6)
Density functional theory data (PBE) for a geometry-optimized YZnCoPb structure.

a b c (Å): 4.783 4.783 4.783
angles (deg): 60.00 60.00 60.00
Atoms (fractional coordinates):
1 Y 0.000 0.000 0.000
2 Zn 0.750 0.750 0.750
3 Co 0.500 0.500 0.500
4 Pb 0.250 0.250 0.250

Computed properties:
space-group type = F-43m, No. 216
energy relative to the lowest polymorph listed for this composition = 43 meV per atom
ρ = 9.02 g cm⁻³
raw total energy = -18.38 eV per cell

=====

(7)
Density functional theory data (PBE) for a geometry-optimized YZrCoPb structure.

a b c (Å): 4.916 4.916 4.916
angles (deg): 60.00 60.00 60.00
Atoms (fractional coordinates):
1 Y 0.000 0.000 0.000
2 Zr 0.250 0.250 0.250
3 Co 0.750 0.750 0.750
4 Pb 0.500 0.500 0.500

Computed properties:
space-group type = F-43m, No. 216
energy relative to the lowest polymorph listed for this composition = 0 meV per atom
ρ = 8.82 g cm⁻³
raw total energy = -24.73 eV per cell

=====

(8)
Density functional theory data (PBE) for a geometry-optimized Zn2CoPb structure.

a b c (Å): 4.554 4.554 4.554
angles (deg): 60.00 60.00 60.00
Atoms (fractional coordinates):
1 Zn 0.000 0.000 0.000
2 Zn 0.250 0.250 0.250
3 Co 0.750 0.750 0.750
4 Pb 0.500 0.500 0.500

Computed properties:
space-group type = F-43m, No. 216
ρ = 9.87 g cm⁻³
raw total energy = -11.67 eV per cell